The following is a DFT calculation (PBE) of a relaxed structure of BaNdAgTe3.

Cell and atoms, written as POSCAR:
```
BaNdAgTe3
1.0
10.0384 -2.2947 0.0000
10.0384 2.2947 0.0000
-1.9822 0.0000 9.1235
Ba Nd Ag Te
2 2 2 6
Direct
0.1299 0.1299 0.0752
0.8701 0.8701 0.9248
0.1644 0.1644 0.5900
0.8356 0.8356 0.4100
0.4633 0.4633 0.2914
0.5367 0.5367 0.7086
0.0000 0.0000 0.5000
0.3189 0.3189 0.1705
0.3276 0.3276 0.6384
0.5000 0.5000 0.0000
0.6724 0.6724 0.3616
0.6811 0.6811 0.8295
```

Computed properties:
Symmetry: C2/m
Final energy, eV/atom: -4.38
Magnetization, μB per formula unit: 0.0